Here is a geometry-optimized LaZr2Co2 structure from Alexandria. Energies are from GGA-PBEsol.

Summary:
- space group = No. 139
- ΔH_f (0 K) (kJ/mol of atoms) = -17.5

Unit cell a=4.416 b=4.416 c=5.895 alpha=112.00 beta=112.00 gamma=90.00
Sites, in units of the cell vectors:
Co 0.384 0.384 0.768
Co 0.616 0.616 0.232
Zr 0.250 0.750 0.500
Zr 0.750 0.250 0.500
La 0.000 0.000 0.000



Here is a geometry-optimized BaTi3B structure from Alexandria. Energies are from GGA-PBEsol.

Summary:
- space group = No. 221
- ΔH_f (0 K) (kJ/mol of atoms) = 253.4

Unit cell a=4.845 b=4.845 c=4.845 alpha=90.00 beta=90.00 gamma=90.00
Sites, in units of the cell vectors:
B 0.500 0.500 0.500
Ba 0.000 0.000 0.000
Ti 0.000 0.500 0.000
Ti 0.000 0.000 0.500
Ti 0.500 0.000 0.000



Here is a geometry-optimized InSbW structure from Alexandria. Energies are from GGA-PBEsol.

Summary:
- E_form (uncorrected) (eV/f.u.) = 2.48
- space group = No. 216

Unit cell a=4.591 b=4.591 c=4.591 alpha=60.00 beta=60.00 gamma=60.00
Sites, in units of the cell vectors:
In 0.000 0.000 0.000
Sb 0.500 0.500 0.500
W 0.750 0.750 0.750



Here is a geometry-optimized HgSb2O6 structure from Alexandria. Energies are from GGA-PBEsol.

Summary:
- E_form (uncorrected) (eV/f.u.) = -10.60
- space group = No. 162

Unit cell a=4.901 b=5.313 c=5.313 alpha=120.00 beta=90.00 gamma=90.00
Sites, in units of the cell vectors:
Sb 0.500 0.667 0.333
Sb 0.500 0.333 0.667
Hg 0.000 0.000 0.000
O 0.277 0.000 0.630
O 0.723 0.000 0.370
O 0.277 0.630 0.000
O 0.723 0.370 0.000
O 0.723 0.630 0.630
O 0.277 0.370 0.370



Here is a geometry-optimized CaGaH2Br structure from Alexandria. Energies are from GGA-PBEsol.

Summary:
- electronic total energy (eV per atom) = -2.33
- space group = No. 123

Unit cell a=4.141 b=4.141 c=5.874 alpha=90.00 beta=90.00 gamma=90.00
Sites, in units of the cell vectors:
H 0.000 0.500 0.000
H 0.500 0.000 0.000
Ca 0.000 0.000 0.500
Ga 0.500 0.500 0.500
Br 0.000 0.000 0.000



Here is a geometry-optimized Mg2AgAu2 structure from Alexandria. Energies are from GGA-PBEsol.

Summary:
- space group = No. 127
- ΔH_f (0 K) (kJ/mol of atoms) = -39.3

Unit cell a=3.246 b=7.461 c=7.461 alpha=90.00 beta=90.00 gamma=90.00
Sites, in units of the cell vectors:
Mg 0.500 0.164 0.664
Mg 0.500 0.664 0.836
Mg 0.500 0.836 0.336
Mg 0.500 0.336 0.164
Au 0.000 0.365 0.865
Au 0.000 0.865 0.635
Au 0.000 0.635 0.135
Au 0.000 0.135 0.365
Ag 0.000 0.000 0.000
Ag 0.000 0.500 0.500



Here is a geometry-optimized BeZnCl2 structure from Alexandria. Energies are from GGA-PBEsol.

Summary:
- E_form (uncorrected) (eV/f.u.) = 1.06
- space group = No. 123

Unit cell a=3.175 b=4.517 c=4.517 alpha=90.00 beta=90.00 gamma=90.00
Sites, in units of the cell vectors:
Be 0.500 0.000 0.000
Zn 0.500 0.500 0.500
Cl 0.000 0.000 0.500
Cl 0.000 0.500 0.000



Here is a geometry-optimized BaCu6Te6S structure from Alexandria. Energies are from GGA-PBEsol.

Summary:
- E_form (uncorrected) (eV/f.u.) = -4.40
- space group = No. 3

Unit cell a=6.793 b=6.820 c=6.900 alpha=90.00 beta=90.85 gamma=90.00
Sites, in units of the cell vectors:
Ba 0.500 0.500 0.500
Cu 0.808 0.190 0.198
Cu 0.192 0.190 0.802
Cu 0.819 0.809 0.813
Cu 0.181 0.809 0.187
Cu 0.210 0.807 0.807
Cu 0.790 0.807 0.193
Te 0.000 0.290 0.500
Te 0.000 0.704 0.500
Te 0.709 0.493 0.999
Te 0.291 0.493 0.001
Te 0.514 0.003 0.706
Te 0.486 0.003 0.294
S 0.000 0.011 0.000